# PBr2N, relaxed, DFT PBE-GGA
# - Energy relative to the elements, uncorrected: 148 kJ/mol of atoms
# - V: 87.3 Å³/cell
# - D(E_F): 2.59 states/eV/f.u.
# - Symmetry: R-3m
# - ΔE to the lowest computed polymorph: 7.40 eV/f.u.
data_PBr2N
_cell_length_a 7.892
_cell_length_b 7.892
_cell_length_c 7.892
_cell_angle_alpha 26.66
_cell_angle_beta 26.66
_cell_angle_gamma 26.66
_symmetry_space_group_name_H-M 'P 1'
_symmetry_Int_Tables_number 1
loop_
_symmetry_equiv_pos_as_xyz
'x,y,z'
loop_
_atom_site_label
_atom_site_type_symbol
_atom_site_fract_x
_atom_site_fract_y
_atom_site_fract_z
_atom_site_occupancy
N1 N 0.000 0.000 0.000 1
P1 P 0.500 0.500 0.500 1
Br1 Br 0.914 0.914 0.914 1
Br2 Br 0.086 0.086 0.086 1